(1)
# RePRu2 | the Alexandria database | PBEsol | relaxed
# N(E_F) in states/eV/f.u.: 5.3
# ΔH_f (0 K) in eV per atom: 0.3026
# Total magnetization in μB per cell: 0.7
data_RePRu2
_cell_length_a 4.420
_cell_length_b 4.420
_cell_length_c 2.785
_cell_angle_alpha 90.00
_cell_angle_beta 90.00
_cell_angle_gamma 90.00
_symmetry_space_group_name_H-M 'P 4/m m m'
_symmetry_Int_Tables_number 123
_symmetry_space_group_name_Hall '-P 4 2'
loop_
_atom_site_label
_atom_site_fract_x
_atom_site_fract_y
_atom_site_fract_z
_atom_site_occupancy
Re1 0.000 0.000 0.000 1
P1 0.500 0.500 0.000 1
Ru1 0.000 0.500 0.500 1

***

(2)
# ReP2Ru | the Alexandria database | PBEsol | relaxed
# N(E_F) in states/eV/f.u.: 1.7
# ΔH_f (0 K) in eV per atom: -0.2851
# Total magnetization in μB per cell: 0.0
data_ReP2Ru
_cell_length_a 4.127
_cell_length_b 4.127
_cell_length_c 2.930
_cell_angle_alpha 90.00
_cell_angle_beta 90.00
_cell_angle_gamma 90.00
_symmetry_space_group_name_H-M 'P 4/m m m'
_symmetry_Int_Tables_number 123
_symmetry_space_group_name_Hall '-P 4 2'
loop_
_atom_site_label
_atom_site_fract_x
_atom_site_fract_y
_atom_site_fract_z
_atom_site_occupancy
Re1 0.000 0.000 0.000 1
P1 0.000 0.500 0.500 1
Ru1 0.500 0.500 0.000 1

***

(3)
# RePRu2 | the Alexandria database | PBEsol | relaxed
# N(E_F) in states/eV/f.u.: 3.3
# ΔH_f (0 K) in eV per atom: 0.0911
# Total magnetization in μB per cell: 0.0
data_RePRu2
_cell_length_a 3.733
_cell_length_b 3.733
_cell_length_c 7.530
_cell_angle_alpha 90.00
_cell_angle_beta 90.00
_cell_angle_gamma 90.00
_symmetry_space_group_name_H-M 'I 4/m m m'
_symmetry_Int_Tables_number 139
_symmetry_space_group_name_Hall '-I 4 2'
loop_
_atom_site_label
_atom_site_fract_x
_atom_site_fract_y
_atom_site_fract_z
_atom_site_occupancy
Re1 0.000 0.000 0.000 1
P1 0.000 0.000 0.500 1
Ru1 0.000 0.500 0.250 1

***

(4)
# ReP2Ru | the Alexandria database | PBEsol | relaxed
# N(E_F) in states/eV/f.u.: 3.4
# ΔH_f (0 K) in eV per atom: -0.0558
# Total magnetization in μB per cell: 0.0
data_ReP2Ru
_cell_length_a 2.908
_cell_length_b 3.968
_cell_length_c 9.174
_cell_angle_alpha 90.00
_cell_angle_beta 90.00
_cell_angle_gamma 90.00
_symmetry_space_group_name_H-M 'I m m 2'
_symmetry_Int_Tables_number 44
loop_
_symmetry_equiv_pos_as_xyz
'x,y,z'
'-x,-y,z'
'-x,y,z'
'x,-y,z'
'x+1/2,y+1/2,z+1/2'
'-x+1/2,-y+1/2,z+1/2'
'-x+1/2,y+1/2,z+1/2'
'x+1/2,-y+1/2,z+1/2'
loop_
_atom_site_label
_atom_site_fract_x
_atom_site_fract_y
_atom_site_fract_z
_atom_site_occupancy
Re1 0.000 0.000 0.000 1
P1 0.000 0.000 0.499 1
P2 0.000 0.500 0.279 1
Ru1 0.000 0.500 0.779 1

***

(5)
# ReP2S2 | the Alexandria database | PBEsol | relaxed
# Formation energy from raw total energies in eV/atom: 0.44
# N(E_F) in states/eV/f.u.: 2.1
# Total magnetization in μB per cell: 0.0
data_ReP2S2
_cell_length_a 6.103
_cell_length_b 6.103
_cell_length_c 4.251
_cell_angle_alpha 90.00
_cell_angle_beta 90.00
_cell_angle_gamma 90.00
_symmetry_space_group_name_H-M 'P 4/m b m'
_symmetry_Int_Tables_number 127
_symmetry_space_group_name_Hall '-P 4 2ab'
loop_
_atom_site_label
_atom_site_fract_x
_atom_site_fract_y
_atom_site_fract_z
_atom_site_occupancy
Re1 0.000 0.000 0.000 1
P1 0.131 0.369 0.000 1
S1 0.218 0.282 0.500 1

***

(6)
# RePS3 | the Alexandria database | PBEsol | relaxed
# Formation energy from raw total energies in eV/atom: 1.13
# N(E_F) in states/eV/f.u.: 3.2
# Total magnetization in μB per cell: 0.0
data_RePS3
_cell_length_a 4.234
_cell_length_b 4.234
_cell_length_c 4.234
_cell_angle_alpha 90.00
_cell_angle_beta 90.00
_cell_angle_gamma 90.00
_symmetry_space_group_name_H-M 'P m -3 m'
_symmetry_Int_Tables_number 221
_symmetry_space_group_name_Hall '-P 4 2 3'
loop_
_atom_site_label
_atom_site_fract_x
_atom_site_fract_y
_atom_site_fract_z
_atom_site_occupancy
Re1 0.000 0.000 0.000 1
P1 0.500 0.500 0.500 1
S1 0.000 0.500 0.500 1

***

What did the first record say?
# RePRu2 | the Alexandria database | PBEsol | relaxed
# N(E_F) in states/eV/f.u.: 5.3
# ΔH_f (0 K) in eV per atom: 0.3026
# Total magnetization in μB per cell: 0.7
data_RePRu2
_cell_length_a 4.420
_cell_length_b 4.420
_cell_length_c 2.785
_cell_angle_alpha 90.00
_cell_angle_beta 90.00
_cell_angle_gamma 90.00
_symmetry_space_group_name_H-M 'P 4/m m m'
_symmetry_Int_Tables_number 123
_symmetry_space_group_name_Hall '-P 4 2'
loop_
_atom_site_label
_atom_site_fract_x
_atom_site_fract_y
_atom_site_fract_z
_atom_site_occupancy
Re1 0.000 0.000 0.000 1
P1 0.500 0.500 0.000 1
Ru1 0.000 0.500 0.500 1